Computed, not measured: an optimized crystal structure of KTc2Ni at the GGA-PBE level of DFT.

abc: 6.068 6.060 6.060
angles: 155.43 132.61 54.09
Sites, in units of the cell vectors:
1 Tc 0.043 0.042 0.001
2 Tc 0.457 0.458 0.999
3 Ni 0.250 0.750 0.500
4 K 0.750 0.250 0.500

Results
- Polymorph energy (0 for the lowest one): 169 meV/atom
- ΔH_f (0 K): 0.818 eV/atom
- Fermi-level density of states: 0.94 states/eV per atom

---

Computed, not measured: an optimized crystal structure of KTc2Ni at the GGA-PBE level of DFT.

abc: 2.712 3.740 7.820
angles: 90.00 90.00 90.00
Sites, in units of the cell vectors:
1 Tc 0.500 0.500 0.152
2 Tc 0.000 0.000 0.994
3 Ni 0.500 0.500 0.837
4 K 0.000 0.000 0.517

Results
- Polymorph energy (0 for the lowest one): 24 meV/atom
- ΔH_f (0 K): 0.673 eV/atom
- Fermi-level density of states: 1.32 states/eV per atom

---

Computed, not measured: an optimized crystal structure of KTc2Ni at the GGA-PBE level of DFT.

abc: 5.051 3.679 3.679
angles: 90.00 90.00 90.00
Sites, in units of the cell vectors:
1 Ni 0.500 0.000 0.500
2 K 0.500 0.500 0.000
3 Tc 0.000 0.500 0.500
4 Tc 0.000 0.000 0.000

Results
- Polymorph energy (0 for the lowest one): 745 meV/atom
- ΔH_f (0 K): 1.394 eV/atom
- Fermi-level density of states: 0.99 states/eV per atom

---

Computed, not measured: an optimized crystal structure of KTc2Ni at the GGA-PBE level of DFT.

abc: 2.696 4.028 7.627
angles: 90.00 90.00 90.00
Sites, in units of the cell vectors:
1 Tc 0.000 0.000 0.607
2 Tc 0.000 0.000 0.893
3 K 0.500 0.500 0.250
4 Ni 0.500 0.500 0.750

Results
- Polymorph energy (0 for the lowest one): 156 meV/atom
- ΔH_f (0 K): 0.805 eV/atom
- Fermi-level density of states: 1.15 states/eV per atom

---

Computed, not measured: an optimized crystal structure of KTcNi2 at the GGA-PBE level of DFT.

abc: 2.610 5.256 4.756
angles: 90.00 90.00 90.00
Each line ends with the local moment (μB).
Sites, in units of the cell vectors:
1 Tc 0.500 0.000 0.500  1.12
2 Ni 0.000 0.000 0.000  0.54
3 Ni 0.500 0.500 0.000  0.50
4 K 0.000 0.500 0.500  0.01

Results
- Polymorph energy (0 for the lowest one): 852 meV/atom
- ΔH_f (0 K): 1.318 eV/atom
- Fermi-level density of states: 1.29 states/eV per atom

---

Computed, not measured: an optimized crystal structure of KTc2Ni at the GGA-PBE level of DFT.

abc: 10.317 10.317 10.317
angles: 15.28 15.28 15.28
Sites, in units of the cell vectors:
1 Ni 0.750 0.750 0.750
2 Tc 0.016 0.016 0.016
3 Tc 0.484 0.484 0.484
4 K 0.250 0.250 0.250

Results
- Polymorph energy (0 for the lowest one): 201 meV/atom
- ΔH_f (0 K): 0.850 eV/atom
- Fermi-level density of states: 1.33 states/eV per atom

---

Computed, not measured: an optimized crystal structure of KTcNi3 at the GGA-PBE level of DFT.

abc: 4.631 4.631 4.631
angles: 90.00 90.00 90.00
Sites, in units of the cell vectors:
1 K 0.500 0.500 0.500
2 Ni 0.500 0.000 0.000
3 Ni 0.000 0.500 0.000
4 Ni 0.000 0.000 0.500
5 Tc 0.000 0.000 0.000

Results
- Polymorph energy (0 for the lowest one): 0 meV/atom
- ΔH_f (0 K): 1.039 eV/atom
- Fermi-level density of states: 1.32 states/eV per atom

---

Computed, not measured: an optimized crystal structure of K2TcNi at the GGA-PBE level of DFT.

abc: 6.835 6.835 6.835
angles: 151.18 128.54 60.05
Each line ends with the local moment (μB).
Sites, in units of the cell vectors:
1 K 0.983 0.983 0.000  -0.01
2 K 0.286 0.786 0.500  0.01
3 Ni 0.550 0.550 0.000  0.73
4 Tc 0.681 0.181 0.500  2.10

Results
- Polymorph energy (0 for the lowest one): 305 meV/atom
- ΔH_f (0 K): 1.019 eV/atom
- Fermi-level density of states: 0.99 states/eV per atom

---

Computed, not measured: an optimized crystal structure of KTc2Ni at the GGA-PBE level of DFT.

abc: 3.792 2.712 8.054
angles: 75.54 90.00 90.00
Sites, in units of the cell vectors:
1 Ni 0.500 0.685 0.837
2 Tc 0.500 0.304 0.153
3 Tc 0.000 0.093 0.993
4 K 0.000 0.419 0.517

Results
- Polymorph energy (0 for the lowest one): 6 meV/atom
- ΔH_f (0 K): 0.655 eV/atom
- Fermi-level density of states: 0.89 states/eV per atom

---

Computed, not measured: an optimized crystal structure of KTc2Ni at the GGA-PBE level of DFT.

abc: 5.694 5.694 2.526
angles: 90.00 90.00 125.31
Each line ends with the local moment (μB).
Sites, in units of the cell vectors:
1 Tc 0.000 0.000 0.000  0.01
2 Tc 0.500 0.500 0.000  0.01
3 Ni 0.000 0.500 0.500  0.16
4 K 0.500 0.000 0.500  0.00

Results
- Polymorph energy (0 for the lowest one): 559 meV/atom
- ΔH_f (0 K): 1.208 eV/atom
- Fermi-level density of states: 1.08 states/eV per atom

---

Computed, not measured: an optimized crystal structure of KTc3Ni at the GGA-PBE level of DFT.

abc: 4.414 4.414 4.414
angles: 90.00 90.00 90.00
Sites, in units of the cell vectors:
1 Tc 0.500 0.000 0.000
2 Tc 0.000 0.500 0.000
3 Tc 0.000 0.000 0.500
4 Ni 0.500 0.500 0.500
5 K 0.000 0.000 0.000

Results
- Polymorph energy (0 for the lowest one): 1421 meV/atom
- ΔH_f (0 K): 3.227 eV/atom
- Fermi-level density of states: 1.13 states/eV per atom

---

Computed, not measured: an optimized crystal structure of KTc2Ni at the GGA-PBE level of DFT.

abc: 2.620 2.620 9.880
angles: 90.00 90.00 99.46
Sites, in units of the cell vectors:
1 Tc 0.000 0.000 0.944
2 Tc 0.000 0.000 0.556
3 Ni 0.500 0.500 0.750
4 K 0.500 0.500 0.250

Results
- Polymorph energy (0 for the lowest one): 149 meV/atom
- ΔH_f (0 K): 0.798 eV/atom
- Fermi-level density of states: 1.27 states/eV per atom

---

Computed, not measured: an optimized crystal structure of KTc2Ni at the GGA-PBE level of DFT.

abc: 5.621 5.621 5.621
angles: 148.44 121.02 68.45
Sites, in units of the cell vectors:
1 Tc 0.805 0.305 0.500
2 Tc 0.994 0.994 0.000
3 Ni 0.203 0.703 0.500
4 K 0.498 0.498 0.000

Results
- Polymorph energy (0 for the lowest one): 511 meV/atom
- ΔH_f (0 K): 1.160 eV/atom
- Fermi-level density of states: 1.07 states/eV per atom

---

Computed, not measured: an optimized crystal structure of KYTcNi2 at the GGA-PBE level of DFT.

abc: 4.604 4.781 4.604
angles: 90.00 90.00 90.00
Each line ends with the local moment (μB).
Sites, in units of the cell vectors:
1 Tc 0.000 0.500 0.000  1.06
2 Y 0.500 0.500 0.500  -0.08
3 Ni 0.500 0.000 0.000  0.24
4 Ni 0.000 0.000 0.500  0.24
5 K 0.000 0.000 0.000  0.00

Results
- ΔH_f (0 K): 1.753 eV/atom
- Fermi-level density of states: 1.28 states/eV per atom

---

Computed, not measured: an optimized crystal structure of KNi2Te at the GGA-PBE level of DFT.

abc: 3.341 3.341 7.628
angles: 90.00 90.00 90.00
Sites, in units of the cell vectors:
1 K 0.500 0.500 0.776
2 Ni 0.000 0.000 0.090
3 Ni 0.500 0.500 0.228
4 Te 0.000 0.000 0.406

Results
- Raw formation energy: 0.223 eV/atom
- Fermi-level density of states: 0.93 states/eV per atom

---

Computed, not measured: an optimized crystal structure of K2NiTe2 at the GGA-PBE level of DFT.

abc: 6.991 6.991 6.991
angles: 119.44 119.44 90.98
Each line ends with the local moment (μB).
Sites, in units of the cell vectors:
1 K 0.750 0.250 0.500  0.01
2 K 0.250 0.750 0.500  0.01
3 Te 0.243 0.243 0.000  0.21
4 Te 0.757 0.757 0.000  0.21
5 Ni 0.000 0.000 0.000  1.09

Results
- Raw formation energy: -0.366 eV/atom
- Fermi-level density of states: 0.99 states/eV per atom

---

Computed, not measured: an optimized crystal structure of KNi4Te at the GGA-PBE level of DFT.

abc: 5.118 5.118 5.118
angles: 60.00 60.00 60.00
Each line ends with the local moment (μB).
Sites, in units of the cell vectors:
1 Te 0.750 0.750 0.750  0.11
2 Ni 0.375 0.874 0.375  0.65
3 Ni 0.874 0.375 0.375  0.65
4 Ni 0.375 0.375 0.874  0.65
5 Ni 0.375 0.375 0.375  0.65
6 K 0.000 0.000 0.000  -0.01

Results
- Raw formation energy: 0.382 eV/atom
- Fermi-level density of states: 1.49 states/eV per atom

---

Computed, not measured: an optimized crystal structure of KNi2Te at the GGA-PBE level of DFT.

abc: 5.830 5.830 5.830
angles: 145.18 119.64 71.61
Each line ends with the local moment (μB).
Sites, in units of the cell vectors:
1 K 0.256 0.756 0.500  0.00
2 Te 0.572 0.572 0.000  0.02
3 Ni 0.915 0.915 0.000  0.52
4 Ni 0.757 0.257 0.500  0.25

Results
- Raw formation energy: 0.300 eV/atom
- Fermi-level density of states: 1.58 states/eV per atom

---

Computed, not measured: an optimized crystal structure of K2NiTe2 at the GGA-PBE level of DFT.

abc: 7.246 7.246 5.613
angles: 90.00 90.00 90.00
Sites, in units of the cell vectors:
1 Te 0.331 0.831 0.000
2 Te 0.669 0.169 0.000
3 Te 0.831 0.669 0.000
4 Te 0.169 0.331 0.000
5 Ni 0.000 0.000 0.000
6 Ni 0.500 0.500 0.000
7 K 0.343 0.157 0.500
8 K 0.657 0.843 0.500
9 K 0.157 0.657 0.500
10 K 0.843 0.343 0.500

Results
- Raw formation energy: -0.421 eV/atom
- Fermi-level density of states: 0.22 states/eV per atom

---

Computed, not measured: an optimized crystal structure of KNi2Te at the GGA-PBE level of DFT.

abc: 5.466 5.466 5.466
angles: 136.08 136.08 63.85
Sites, in units of the cell vectors:
1 Te 0.500 0.500 0.000
2 K 0.750 0.250 0.500
3 Ni 0.250 0.750 0.500
4 Ni 0.000 0.000 0.000

Results
- Raw formation energy: 0.562 eV/atom
- Fermi-level density of states: 0.93 states/eV per atom